VASP calculation (GGA-PBE) on an optimized crystal structure of Nb2RhBr.

Cell: 6.4903 6.4903 6.4903 Å, 90.00 90.00 90.00°
Closest atoms and distances in Å follow each position.
Space group Fm-3m (No. 225)
Asymmetric unit:
Nb  0.2500  0.2500  0.2500 (multiplicity 8)  4 Br 2.81, 4 Rh 2.81
Rh  0.0000  0.0000  0.0000 (multiplicity 4)  8 Nb 2.81
Br  0.0000  0.0000  0.5000 (multiplicity 4)  8 Nb 2.81

The calculation puts the formation energy (no corrections) at 0.26 eV/atom. Its total magnetization is 0.00 μB per formula unit.